No. 1
VASP calculation (PBE) on a relaxed InIrRuBr2 crystal.

abc: 4.811 5.600 4.811
angles: 90.00 90.00 90.00
Sites, in units of the cell vectors:
Ru (0.000, 0.000, 0.000)
Ir (0.500, 0.500, 0.500)
Br (0.000, 0.000, 0.500)
Br (0.500, 0.000, 0.000)
In (0.000, 0.500, 0.000)

Results
Energy relative to the elements, uncorrected, eV per atom: 1.2061
VASP energy, eV per atom: -3.638
Magnetization, Bohr magnetons per cell: 0.9

=====

No. 2
VASP calculation (PBE) on a relaxed NbVSN2 crystal.

abc: 3.744 3.744 4.620
angles: 90.00 90.00 90.00
Sites, in units of the cell vectors:
Nb (0.500, 0.500, 0.500)
N (0.000, 0.500, 0.000)
N (0.500, 0.000, 0.000)
S (0.000, 0.000, 0.500)
V (0.000, 0.000, 0.000)

Results
Energy relative to the elements, uncorrected, eV per atom: 0.2200
VASP energy, eV per atom: -7.773
Energy above the lowest structure with this stoichiometry, meV/atom: 0
Magnetization, Bohr magnetons per cell: 0.5

=====

No. 3
VASP calculation (PBE) on a relaxed Tc2PdAuO crystal.

abc: 4.041 4.430 4.041
angles: 90.00 90.00 90.00
Sites, in units of the cell vectors:
O (0.000, 0.000, 0.000)
Au (0.500, 0.500, 0.500)
Tc (0.000, 0.000, 0.500)
Tc (0.500, 0.000, 0.000)
Pd (0.000, 0.500, 0.000)

Results
Energy relative to the elements, uncorrected, eV per atom: 0.2016
VASP energy, eV per atom: -6.630
Magnetization, Bohr magnetons per cell: 1.8

=====

No. 4
VASP calculation (PBE) on a relaxed Al2Mo crystal.

abc: 12.291 12.291 12.291
angles: 161.72 161.72 25.96
Sites, in units of the cell vectors:
Mo (0.925, 0.925, 0.000)
Mo (0.075, 0.075, 0.000)
Mo (0.175, 0.675, 0.500)
Mo (0.325, 0.825, 0.500)
Al (0.749, 0.749, 0.000)
Al (0.251, 0.251, 0.000)
Al (0.999, 0.499, 0.500)
Al (0.501, 0.001, 0.500)
Al (0.588, 0.588, 0.000)
Al (0.412, 0.412, 0.000)
Al (0.838, 0.338, 0.500)
Al (0.662, 0.162, 0.500)

Results
VASP energy, eV per atom: -6.270
Formation energy from the elements, meV/atom: -164.5
Magnetization, Bohr magnetons per cell: 0.0